# 1
Compound: NaInCu2C
Source: the Alexandria database
Functional: PBE
Structure: optimized geometry

Formation energy from the elements: 9.28 eV per formula unit
Symmetry: P4/mmm (123)

a b c (Å): 4.8489 4.8489 5.9581
angles (deg): 90.00 90.00 90.00
Element x y z (fractional)
1 Na 0.0000 0.0000 0.0000
2 In 0.0000 0.0000 0.5000
3 Cu 0.0000 0.5000 0.5000
4 Cu 0.5000 0.0000 0.5000
5 C 0.5000 0.5000 0.0000

# 2
Compound: LiBO2F
Source: the Alexandria database
Functional: PBE
Structure: optimized geometry

DFT total energy: -28.2 eV per cell
Symmetry: P4/mmm (123)

a b c (Å): 2.9875 2.9875 5.1637
angles (deg): 90.00 90.00 90.00
Element x y z (fractional)
1 Li 0.0000 0.0000 0.0000
2 B 0.5000 0.5000 0.5000
3 O 0.0000 0.5000 0.5000
4 O 0.5000 0.0000 0.5000
5 F 0.5000 0.5000 0.0000